[1]
The following is a DFT calculation (PBE-GGA) of a geometry-optimized NaTa4O8 structure.

Computed properties:
E_form (uncorrected)   -33.7 eV per formula unit
Calculated density   8.96 g/cm3
Density of states at the Fermi level   0.223 states/eV/atom
Polymorph energy (0 for the lowest one)   0.000 eV per atom
Total DFT energy (no corrections)   -9.40 eV per atom
Crystal system   orthorhombic
Spin magnetization   0.000 μB/atom

Cell lengths 7.1775, 10.3784, 13.0563 Å; angles 90.00, 90.00, 90.00 degrees
Space group Pmmn (No. 59, origin choice 2)
Inequivalent atoms, fractional coordinates:
Na1 0.2500 0.2500 0.0054 (multiplicity 2)
Na2 0.2500 0.2500 0.2405 (multiplicity 2)
Na3 0.2500 0.2500 0.5250 (multiplicity 2)
Ta1 0.0180 0.5315 0.1260 (multiplicity 8)
Ta2 0.0192 0.5303 0.6252 (multiplicity 8)
Ta3 0.2500 0.7500 0.0243 (multiplicity 2)
Ta4 0.2500 0.7500 0.2284 (multiplicity 2)
Ta5 0.2500 0.7500 0.5231 (multiplicity 2)
Ta6 0.2500 0.7500 0.7259 (multiplicity 2)
O1 0.0567 0.6154 0.7637 (multiplicity 8)
O2 0.0573 0.6150 0.9874 (multiplicity 8)
O3 0.0577 0.6144 0.4861 (multiplicity 8)
O4 0.0617 0.6119 0.2643 (multiplicity 8)
O5 0.2500 0.0697 0.6245 (multiplicity 4)
O6 0.2500 0.0732 0.1240 (multiplicity 4)
O7 0.2500 0.0773 0.8774 (multiplicity 4)
O8 0.2500 0.0852 0.3764 (multiplicity 4)

=====

[2]
The following is a DFT calculation (PBE-GGA) of a geometry-optimized Sr3RuO4 structure.

Computed properties:
E_form (uncorrected)   -15.5 eV per formula unit
Calculated density   4.50 g/cm3
Density of states at the Fermi level   0.110 states/eV/atom
Total DFT energy (no corrections)   -6.21 eV per atom
Crystal system   orthorhombic
Spin magnetization   0.250 μB/atom

Cell lengths 8.2042, 7.8982, 4.8750 Å; angles 90.00, 90.00, 90.00 degrees
Space group Pmn2_1 (No. 31)
Inequivalent atoms, fractional coordinates:
Sr1 0.0000 0.0913 0.0000 (multiplicity 2)
Sr2 0.2277 0.3487 0.4969 (multiplicity 4)
Ru1 0.0000 0.7196 0.4636 (multiplicity 2)
O1 0.0000 0.1718 0.4995 (multiplicity 2)
O2 0.0000 0.7769 0.0614 (multiplicity 2)
O3 0.2385 0.6989 0.5001 (multiplicity 4)